Density functional theory data (PBE-GGA) for a relaxed structure of CsCuNi2.

Cell lengths 4.618, 4.618, 4.618 Å; angles 60.00, 60.00, 60.00 degrees
Sites, in units of the cell vectors:
Cs (0.500, 0.500, 0.500)
Ni (0.250, 0.250, 0.250)
Ni (0.750, 0.750, 0.750)
Cu (0.000, 0.000, 0.000)

Summary:
- SG = Fm-3m, No. 225
- formation energy (meV/atom) = 1204
- raw total energy (eV for the cell shown) = -11.70



Density functional theory data (PBE-GGA) for a relaxed structure of CsCuNiSn2.

Cell lengths 6.258, 4.790, 6.258 Å; angles 90.00, 90.00, 90.00 degrees
Sites, in units of the cell vectors:
Cs (0.000, 0.000, 0.000)
Ni (0.000, 0.500, 0.000)
Sn (0.000, 0.000, 0.500)
Sn (0.500, 0.000, 0.000)
Cu (0.500, 0.500, 0.500)

Summary:
- SG = P4/mmm, No. 123
- formation energy (meV/atom) = 1883
- raw total energy (eV for the cell shown) = -9.32



Density functional theory data (PBE-GGA) for a relaxed structure of CsCuTc2Ni.

Cell lengths 4.673, 6.202, 4.673 Å; angles 90.00, 90.00, 90.00 degrees
Last column: magnetic moment on the atom in μB.
Sites, in units of the cell vectors:
Cs (0.000, 0.500, 0.000)  0.02
Ni (0.000, 0.000, 0.000)  0.76
Tc (0.000, 0.000, 0.500)  2.66
Tc (0.500, 0.000, 0.000)  2.43
Cu (0.500, 0.500, 0.500)  0.03

Summary:
- SG = P4/mmm, No. 123
- formation energy (meV/atom) = 1856
- raw total energy (eV for the cell shown) = -22.18



Density functional theory data (PBE-GGA) for a relaxed structure of CsCuNiTe2.

Cell lengths 7.597, 6.296, 7.421 Å; angles 115.10, 90.00, 90.00 degrees
Sites, in units of the cell vectors:
Cs (0.263, 0.750, 0.500)
Cs (0.737, 0.250, 0.500)
Cu (0.000, 0.000, 0.000)
Cu (0.000, 0.500, 0.000)
Ni (0.500, 0.750, 0.000)
Ni (0.500, 0.250, 0.000)
Te (0.710, 0.916, 0.832)
Te (0.710, 0.584, 0.168)
Te (0.290, 0.416, 0.832)
Te (0.290, 0.084, 0.168)

Summary:
- SG = Cmme, No. 67
- formation energy without anion corrections (eV per atom) = -0.316
- raw total energy (eV for the cell shown) = -37.19